Compound: TaCd2Pb
Source: the Alexandria database
Functional: SCAN
Structure: PBEsol geometry

Cell: 4.947 4.947 4.947 Å, 60.00 60.00 60.00°
Positions (direct):
Ta: 0.000 0.000 0.000
Cd: 0.250 0.250 0.250
Cd: 0.500 0.500 0.500
Pb: 0.750 0.750 0.750

Computed properties:
total magnetization = 1.9 μB/f.u.
symmetry = F-43m
calculated formation energy = 0.7420 eV per atom